# 1
# Mg2CrHg

A geometry-optimized Mg2CrHg structure (PBE-GGA, Alexandria via LeMat-Bulk).

Spin magnetization in Bohr magnetons per cell: 8.2
Energy of formation from the pure elements in eV/atom: 0.401

abc: 6.234 6.234 6.234
angles: 102.45 102.45 124.67
Fractional positions:
Mg (0.116, 0.625, 0.991)
Mg (0.375, 0.366, 0.491)
Mg (0.634, 0.125, 0.009)
Mg (0.875, 0.884, 0.509)
Cr (0.250, 0.750, 0.500)
Cr (0.500, 0.500, 0.000)
Hg (0.000, 0.000, 0.000)
Hg (0.750, 0.250, 0.500)

=====

# 2
# SrSiPCl2

A geometry-optimized SrSiPCl2 structure (PBE-GGA, Alexandria via LeMat-Bulk).

E above lowest polymorph in meV/atom: 0
Raw formation energy in kJ/mol of atoms: -73.8
Spin magnetization in Bohr magnetons per cell: 0.0

abc: 5.016 5.016 4.671
angles: 90.00 90.00 90.00
Fractional positions:
Sr (0.000, 0.000, 0.000)
Si (0.500, 0.500, 0.500)
P (0.500, 0.500, 0.000)
Cl (0.000, 0.500, 0.500)
Cl (0.500, 0.000, 0.500)